[1]
Computed, not measured: a relaxed structure of DyNpNi2O6 at the GGA+U level of DFT.

a b c (Å): 5.818 5.818 5.818
angles (deg): 55.71 55.71 55.71
Sites, in units of the cell vectors:
Dy  0.000  0.000  0.000
Np  0.491  0.491  0.491
Ni  0.287  0.287  0.287
Ni  0.795  0.795  0.795
O  0.084  0.673  0.424
O  0.192  0.574  0.904
O  0.424  0.084  0.673
O  0.574  0.904  0.192
O  0.673  0.424  0.084
O  0.904  0.192  0.574

Properties
Its uncorrected energy is -7.546 eV/atom. As for the space-group type: No. 146.

[2]
Computed, not measured: a relaxed structure of DyNpNiO6 at the GGA+U level of DFT.

a b c (Å): 5.295 5.295 9.959
angles (deg): 90.00 90.00 120.00
Sites, in units of the cell vectors:
Dy  0.000  0.000  0.000
Dy  0.000  0.000  0.500
Np  0.333  0.667  0.250
Np  0.667  0.333  0.750
Ni  0.333  0.667  0.750
Ni  0.667  0.333  0.250
O  0.009  0.353  0.137
O  0.009  0.656  0.363
O  0.344  0.353  0.363
O  0.344  0.991  0.137
O  0.353  0.009  0.637
O  0.353  0.344  0.863
O  0.647  0.656  0.137
O  0.647  0.991  0.363
O  0.656  0.009  0.863
O  0.656  0.647  0.637
O  0.991  0.344  0.637
O  0.991  0.647  0.863

Properties
Its uncorrected energy is -8.054 eV/atom. As for the space-group type: No. 163.